Entry 1:
Material: RbPuMnI6
Method: DFT, GGA-PBE
State: relaxed

The value obtained for the total energy is -4.69 eV/atom. For the total magnetization, the calculation gives 1.111 μB/atom. For the energy relative to the elements, uncorrected, the calculation gives -0.940 eV per atom.

The space group is P-31c (No. 163) and the conventional cell measures 7.8539, 7.8539 and 16.2367 Å, with angles of 90.00, 90.00 and 120.00 degrees. The distinct sites, in fractional coordinates, are Rb at (0.0000, 0.0000, 0.0000), Pu at (0.3333, 0.6667, 0.2500), Mn at (0.3333, 0.6667, 0.7500) and I at (0.0185, 0.3790, 0.6450).

=====

Entry 2:
Material: SrLaMn2
Method: DFT, GGA-PBE
State: relaxed

The value obtained for the total energy is -5.97 eV/atom. For the total magnetization, the calculation gives 0.180 μB/atom. As for the formation energy: 25.47 kJ per mole of atoms.

The space group is R3m (No. 160, hexagonal axes) and the conventional cell measures 3.9402, 3.9402 and 25.1555 Å, with angles of 90.00, 90.00 and 120.00 degrees. The distinct sites, in fractional coordinates, are Sr at (0.0000, 0.0000, 0.0000), La at (0.0000, 0.0000, 0.8190), Mn at (0.0000, 0.0000, 0.2413) and Mn at (0.0000, 0.0000, 0.5676).